Entry 1:
# AcLaPmMg

AcLaPmMg after structural relaxation (GGA-PBE, Alexandria via LeMat-Bulk). Values from VASP.

Cell and atoms, written as Quantum ESPRESSO input:
```
&SYSTEM
  ibrav = 0, nat = 4, ntyp = 4
/
ATOMIC_SPECIES
Ac 227.00 Ac.upf
La 138.91 La.upf
Mg 24.30 Mg.upf
Pm 145.00 Pm.upf
CELL_PARAMETERS angstrom
-2.1515 -3.8163 -3.8569
-4.2550 -3.6673 1.5857
-5.3977 0.7074 -2.1055
ATOMIC_POSITIONS angstrom
Ac -5.9021 -3.3881 -2.1883
La -8.8532 -5.0822 -3.2825
Mg 0.0000 0.0000 0.0000
Pm -2.9511 -1.6941 -1.0942
```

## Properties
As for the total energy: -3.76 eV/atom. As for the symmetry: F-43m (216). The total magnetization comes out at 0.0 Bohr magnetons per cell. Its polymorph energy (0 for the lowest one) is 0.122 eV per atom. The formation energy is 0.0806 eV/atom.

=====

Entry 2:
# AcLaPmMg

AcLaPmMg after structural relaxation (GGA-PBE, Alexandria via LeMat-Bulk). Values from VASP.

Cell and atoms, written as Quantum ESPRESSO input:
```
&SYSTEM
  ibrav = 0, nat = 4, ntyp = 4
/
ATOMIC_SPECIES
Ac 227.00 Ac.upf
La 138.91 La.upf
Pm 145.00 Pm.upf
Mg 24.30 Mg.upf
CELL_PARAMETERS angstrom
3.8882 0.0000 0.0000
0.0000 3.8882 0.0000
0.0000 0.0000 9.2380
ATOMIC_POSITIONS angstrom
Ac 0.0000 0.0000 0.7102
La 1.9441 1.9441 7.2761
Pm 1.9441 1.9441 3.2957
Mg 0.0000 0.0000 5.2052
```

## Properties
As for the total energy: -3.89 eV/atom. As for the symmetry: P4mm (99). The total magnetization comes out at 0.0 Bohr magnetons per cell. Its polymorph energy (0 for the lowest one) is 0.000 eV per atom. The formation energy is -0.0416 eV/atom.

=====

Entry 3:
# Ac2La4PrMg

Ac2La4PrMg after structural relaxation (GGA-PBE, Alexandria via LeMat-Bulk). Values from VASP.

Cell and atoms, written as Quantum ESPRESSO input:
```
&SYSTEM
  ibrav = 0, nat = 8, ntyp = 4
/
ATOMIC_SPECIES
Ac 227.00 Ac.upf
La 138.91 La.upf
Pr 140.91 Pr.upf
Mg 24.30 Mg.upf
CELL_PARAMETERS angstrom
6.1750 0.0000 0.0000
0.0001 5.9645 1.5672
0.0001 3.9758 9.1384
ATOMIC_POSITIONS angstrom
Ac 6.1751 5.9645 1.5672
Ac 3.0876 1.9879 4.5692
La 0.0002 7.4935 7.8717
La 0.0001 2.4468 2.8340
La 3.0876 5.4237 3.6222
La 3.0876 4.5166 7.0835
Pr 3.0875 2.9823 0.7836
Mg 0.0001 4.9701 5.3528
```

## Properties
As for the total energy: -4.22 eV/atom. As for the symmetry: P4/mmm (123). The total magnetization comes out at 0.0 Bohr magnetons per cell. The formation energy is 0.0704 eV/atom.

=====

Entry 4:
# AcLa2Pr6Mg

AcLa2Pr6Mg after structural relaxation (GGA-PBE, Alexandria via LeMat-Bulk). Values from VASP.

Cell and atoms, written as Quantum ESPRESSO input:
```
&SYSTEM
  ibrav = 0, nat = 20, ntyp = 4
/
ATOMIC_SPECIES
Ac 227.00 Ac.upf
La 138.91 La.upf
Pr 140.91 Pr.upf
Mg 24.30 Mg.upf
CELL_PARAMETERS angstrom
9.0874 -2.5637 -2.6606
0.9836 8.7335 -1.0058
0.9836 -1.3287 8.6903
ATOMIC_POSITIONS angstrom
Ac 3.2554 7.4066 -1.0099
Ac 7.7991 -2.5656 6.0338
La 5.2154 4.8500 4.4356
La 1.2955 1.8701 1.3431
La 5.8392 -0.0090 0.5884
La 9.7591 2.9709 3.6808
Pr 1.4626 -0.4880 6.0108
Pr 5.0482 0.0982 6.6191
Pr 9.5919 5.3291 -0.9869
Pr 6.0063 4.7429 -1.5952
Pr 3.5114 -1.1459 3.2372
Pr 2.9995 2.8455 7.3794
Pr 7.5432 5.9870 1.7867
Pr 8.0551 1.9956 -2.3554
Pr 1.9544 5.0331 2.8012
Pr 4.5565 3.5102 1.2208
Pr 9.1002 -0.1920 2.2227
Pr 6.4981 1.3309 3.8032
Mg 3.2554 2.0379 4.1634
Mg 7.7991 2.8032 0.8605
```

## Properties
As for the total energy: -4.33 eV/atom. As for the symmetry: C2/c (15). The total magnetization comes out at 0.0 Bohr magnetons per cell. The formation energy is 0.0977 eV/atom.

=====

Entry 5:
# AcLaMgPt

AcLaMgPt after structural relaxation (GGA-PBE, Alexandria via LeMat-Bulk). Values from VASP.

Cell and atoms, written as Quantum ESPRESSO input:
```
&SYSTEM
  ibrav = 0, nat = 4, ntyp = 4
/
ATOMIC_SPECIES
Ac 227.00 Ac.upf
Mg 24.30 Mg.upf
Pt 195.08 Pt.upf
La 138.91 La.upf
CELL_PARAMETERS angstrom
5.4459 0.0000 0.0000
2.7229 4.7163 0.0000
2.7229 1.5721 4.4466
ATOMIC_POSITIONS angstrom
Ac 0.0000 0.0000 0.0000
Mg 2.7229 1.5721 1.1116
Pt 8.1688 4.7163 3.3349
La 5.4459 3.1442 2.2233
```

## Properties
As for the total energy: -4.62 eV/atom. As for the symmetry: F-43m (216). The total magnetization comes out at 0.0 Bohr magnetons per cell. The formation energy is -0.4554 eV/atom.

=====

Entry 6:
# AcLaMgRh

AcLaMgRh after structural relaxation (GGA-PBE, Alexandria via LeMat-Bulk). Values from VASP.

Cell and atoms, written as Quantum ESPRESSO input:
```
&SYSTEM
  ibrav = 0, nat = 4, ntyp = 4
/
ATOMIC_SPECIES
Ac 227.00 Ac.upf
Rh 102.91 Rh.upf
Mg 24.30 Mg.upf
La 138.91 La.upf
CELL_PARAMETERS angstrom
5.3995 0.0000 0.0000
2.6998 4.6761 0.0000
2.6998 1.5587 4.4087
ATOMIC_POSITIONS angstrom
Ac 2.6998 1.5587 1.1022
Rh 5.3995 3.1174 2.2044
Mg 0.0000 0.0000 0.0000
La 8.0993 4.6761 3.3065
```

## Properties
As for the total energy: -4.74 eV/atom. As for the symmetry: F-43m (216). The total magnetization comes out at 0.0 Bohr magnetons per cell. The formation energy is -0.2466 eV/atom.